No. 1
{
  "formula": "Cs5Nb2S4Br9",
  "functional": "GGA-PBEsol",
  "state": "optimized geometry",
  "lattice_angstrom": [[-3.723, 5.451, 8.283], [3.723, -5.451, 8.283], [3.723, 5.451, -8.283]],
  "species": ["Cs", "Cs", "Cs", "Cs", "Cs", "Nb", "Nb", "S", "S", "S", "S", "Br", "Br", "Br", "Br", "Br", "Br", "Br", "Br", "Br"],
  "fractional_positions": [[0.000, 0.000, 0.000], [0.063, 0.339, 0.724], [0.384, 0.661, 0.724], [0.616, 0.339, 0.276], [0.937, 0.661, 0.276], [0.412, 0.912, 0.500], [0.588, 0.088, 0.500], [0.408, 0.237, 0.645], [0.408, 0.763, 0.171], [0.592, 0.237, 0.829], [0.592, 0.763, 0.355], [0.000, 0.500, 0.500], [0.126, 0.872, 0.253], [0.294, 0.038, 0.744], [0.294, 0.549, 0.256], [0.381, 0.128, 0.253], [0.619, 0.872, 0.747], [0.706, 0.451, 0.744], [0.706, 0.962, 0.256], [0.874, 0.128, 0.747]]
}

No. 2
{
  "formula": "CsNiBr3",
  "functional": "GGA-PBEsol",
  "state": "optimized geometry",
  "lattice_angstrom": [[7.398, 0.000, 0.000], [-3.699, 6.406, 0.000], [0.000, 0.000, 6.145]],
  "species": ["Cs", "Cs", "Ni", "Ni", "Br", "Br", "Br", "Br", "Br", "Br"],
  "fractional_positions": [[0.333, 0.667, 0.250], [0.667, 0.333, 0.750], [0.000, 0.000, 0.000], [0.000, 0.000, 0.500], [0.155, 0.311, 0.750], [0.155, 0.845, 0.750], [0.311, 0.155, 0.250], [0.689, 0.845, 0.750], [0.845, 0.155, 0.250], [0.845, 0.689, 0.250]]
}

no.,uncorrected formation energy (eV per atom)
1,-1.35
2,-0.93